(1)
The following is a DFT calculation (GGA-PBE) of Co2GeHRu after structural relaxation.

Unit cell a=3.647 b=3.647 c=3.836 alpha=90.00 beta=90.00 gamma=90.00
Space group P4/mmm (No. 123)
Asymmetric unit:
Co (0.000, 0.500, 0.000) [2 per cell]
Ge (0.000, 0.000, 0.500) [1 per cell]
H (0.500, 0.500, 0.000) [1 per cell]
Ru (0.500, 0.500, 0.500) [1 per cell]

As for the volume: 10.20 Å³ per atom. The calculated total energy comes out at -31.62 eV/f.u.



(2)
The following is a DFT calculation (GGA-PBE) of Nb2Al2In after structural relaxation.

Unit cell a=7.046 b=7.046 c=3.598 alpha=90.00 beta=90.00 gamma=90.00
Space group P4/mbm (No. 127)
Asymmetric unit:
Nb (0.173, 0.327, 0.000) [4 per cell]
Al (0.124, 0.624, 0.500) [4 per cell]
In (0.000, 0.000, 0.500) [2 per cell]

As for the volume: 17.86 Å³ per atom. Its excess energy over the best structure of this formula in the dataset is 0 meV per atom. The formation energy from the elements comes out at -25.7 kJ/mol of formula units. The calculated total energy comes out at -30.63 eV/f.u.



(3)
The following is a DFT calculation (GGA-PBE) of KIn2IrPb after structural relaxation.

Unit cell a=5.247 b=5.247 c=5.498 alpha=90.00 beta=90.00 gamma=90.00
Space group P4/mmm (No. 123)
Asymmetric unit:
K (0.000, 0.000, 0.000) [1 per cell]
In (0.000, 0.500, 0.500) [2 per cell]
Ir (0.500, 0.500, 0.500) [1 per cell]
Pb (0.500, 0.500, 0.000) [1 per cell]

As for the volume: 30.28 Å³ per atom. The formation energy from the elements comes out at -1.6 kJ/mol of formula units. The calculated total energy comes out at -19.16 eV/f.u.



(4)
The following is a DFT calculation (GGA-PBE) of Ni5C3 after structural relaxation.

Unit cell a=5.5421 b=5.5421 c=5.4850 alpha=90.00 beta=90.00 gamma=120.00
Space group P6_3/mcm (No. 193)
Asymmetric unit:
Ni (0.0000, 0.2679, 0.2500) [6 per cell]
Ni (0.3333, 0.6667, 0.0000) [4 per cell]
C (0.0000, 0.3894, 0.7500) [6 per cell]

As for the volume: 9.12 Å³ per atom. Its excess energy over the best structure of this formula in the dataset is 23 meV per atom. The formation energy from the elements comes out at 441.9 kJ/mol of formula units. The calculated total energy comes out at -52.00 eV/f.u.